Density functional theory data (PBE-GGA) for a relaxed LaErGa crystal.

DOS(E_F) = 1.281 states/eV per atom
density = 7.3 g cm⁻³
magnetization = 0.000 μB/atom
energy of formation = -0.28 eV per atom

Lattice parameters (Å, degrees): 4.9843 4.9843 3.9806 90.00 90.00 120.00
Last column: nearest neighbours and their distance in Å.
Space group P3m1 (No. 156)
Symmetry-distinct sites (fractional):
La 0.0000 0.0000 0.0000 x1  6 Ga 3.33-3.69, 6 Er 3.43-3.57
Er 0.3333 0.6667 0.4679 x1  3 Ga 2.91
Ga 0.6667 0.3333 0.5801 x1  3 Er 2.91

Density functional theory data (PBE-GGA) for a relaxed LaErGa crystal.

DOS(E_F) = 0.924 states/eV per atom
density = 7.4 g cm⁻³
magnetization = 0.000 μB/atom
energy of formation = -0.35 eV per atom

Lattice parameters (Å, degrees): 3.5710 3.5710 13.2691 90.00 90.00 90.00
Last column: nearest neighbours and their distance in Å.
Space group I4mm (No. 107)
Symmetry-distinct sites (fractional):
La 0.0000 0.0000 0.0000 x2  4 Ga 3.27, 4 La 3.57
Er 0.0000 0.0000 0.2858 x2  4 Ga 3.05
Ga 0.0000 0.0000 0.6568 x2  4 Er 3.05, 4 La 3.27